This record from Alexandria via LeMat-Bulk describes a relaxed structure of PmCr2IrO8. The functional is PBE with a Hubbard U.

Geometry as POSCAR:
```
PmCr2IrO8
1.0
4.742 0.034 -0.003
0.085 4.734 -0.005
0.005 0.007 6.417
Pm Cr Ir O
1 2 1 8
Cartesian
0.002 0.004 3.209
2.417 2.389 4.804
2.415 2.386 1.605
0.000 0.000 0.000
1.053 3.750 1.355
3.417 3.384 -0.006
3.775 1.021 1.357
3.778 1.026 5.053
1.414 1.392 6.415
1.056 3.754 5.052
3.233 3.205 3.203
1.599 1.570 3.206
```

## Properties
E: -7.309 eV/atom
Magnetic moment: 0.322 μB per atom